Entry 1:
This record from OQMD via LeMat-Bulk describes a relaxed Y2Al4FeIr crystal. The functional is GGA-PBE.

The value obtained for the total energy is -6.23 eV per atom.

The space group is Amm2 (No. 38) and the conventional cell measures 7.107, 4.106 and 10.214 Å, with angles of 90.00, 90.00 and 90.00 degrees. The asymmetric unit holds Y at (0.000, 0.000, 0.000), Y at (0.500, 0.000, 0.128), Al at (0.189, 0.000, 0.717), Al at (0.299, 0.000, 0.405), Fe at (0.000, 0.000, 0.277) and Ir at (0.500, 0.000, 0.847).

---

Entry 2:
This record from OQMD via LeMat-Bulk describes a relaxed ErSnAsO crystal. The functional is GGA-PBE.

The value obtained for the offset from the most stable computed form is 116 meV/atom. The value obtained for the total energy is -5.88 eV per atom.

The space group is Pmc2_1 (No. 26) and the conventional cell measures 4.905, 6.250 and 6.260 Å, with angles of 90.00, 90.00 and 90.00 degrees. The asymmetric unit holds Er at (0.000, 0.155, 0.000), Sn at (0.500, 0.256, 0.372), As at (0.500, 0.282, 0.808) and O at (0.000, 0.142, 0.342).

---

Entry 3:
This record from OQMD via LeMat-Bulk describes a relaxed GdErNO crystal. The functional is GGA-PBE.

The value obtained for the offset from the most stable computed form is 599 meV/atom. The value obtained for the total energy is -7.33 eV per atom.

The space group is P4/nmm (No. 129, origin choice 2) and the conventional cell measures 4.237, 4.237 and 7.671 Å, with angles of 90.00, 90.00 and 90.00 degrees. The asymmetric unit holds Gd at (0.250, 0.750, 0.000), Er at (0.250, 0.250, 0.401), N at (0.250, 0.250, 0.859) and O at (0.250, 0.750, 0.500).

---

no.,magnetic moment (μB per cell)
1,2.32
2,0.00
3,1.12